VASP calculation (GGA-PBE) on SrIr2Pb after structural relaxation.

abc: 4.9231 4.9231 4.9231
angles: 60.00 60.00 60.00
With the nearest neighbours (Å) after each atom.
Fractional positions:
Ir (0.0000, 0.0000, 0.0000)  4 Sr 3.01, 4 Ir 3.01
Ir (0.2500, 0.2500, 0.2500)  4 Ir 3.01, 4 Pb 3.01
Pb (0.5000, 0.5000, 0.5000)  4 Ir 3.01, 4 Sr 3.01
Sr (0.7500, 0.7500, 0.7500)  4 Pb 3.01, 4 Ir 3.01

Output
Energy: -5.27 eV/atom
Energy of formation from the pure elements: 511 meV/atom
Theoretical density: 13.37 g/cm³

VASP calculation (GGA-PBE) on K2SrAu after structural relaxation.

abc: 11.1783 11.1783 8.5246
angles: 49.03 49.03 90.00
With the nearest neighbours (Å) after each atom.
Fractional positions:
Sr (0.5000, 0.5000, 0.0000)  2 Au 3.19
Sr (0.2500, 0.7500, 0.5000)  2 Au 3.19
K (0.0206, 0.6250, 0.2500)  2 Au 3.33
K (0.3750, 0.2706, 0.7500)  2 Au 3.33
K (0.7294, 0.1250, 0.2500)  2 Au 3.33
K (0.8750, 0.9794, 0.7500)  2 Au 3.33
Au (0.0000, 0.0000, 0.0000)  2 Sr 3.19, 4 K 3.33
Au (0.7500, 0.2500, 0.5000)  2 Sr 3.19, 4 K 3.33

Output
Polymorph energy (0 for the lowest one): 0.1656 eV per atom
Energy: -1.90 eV/atom
Energy of formation from the pure elements: -110 meV/atom
Theoretical density: 3.02 g/cm³